Computed, not measured: a relaxed CuHgIr2 crystal at the PBE level of DFT.

Unit cell a=4.963 b=4.963 c=4.963 alpha=133.85 beta=133.85 gamma=67.32
Fractional coordinates of all 4 atoms:
1 Cu 0.000 0.000 0.000
2 Hg 0.500 0.500 0.000
3 Ir 0.250 0.750 0.500
4 Ir 0.750 0.250 0.500

Output
- formation energy (meV per atom) = 511
- Fermi-level density of states (states/eV per atom) = 1.58
- V (Å³ per cell) = 62
- offset from the most stable computed form (meV per atom) = 271.5